Entry 1:
UInGa2 after structural relaxation. Source: the Alexandria database, functional PBE.

Geometry as CIF:
```
data_UInGa2
_symmetry_space_group_name_H-M 'F m -3 m'
_symmetry_Int_Tables_number 225
_symmetry_space_group_name_Hall '-F 4 2 3'
_cell_length_a 6.987
_cell_length_b 6.987
_cell_length_c 6.987
_cell_angle_alpha 90.00
_cell_angle_beta 90.00
_cell_angle_gamma 90.00
loop_
_atom_site_label
_atom_site_type_symbol
_atom_site_fract_x
_atom_site_fract_y
_atom_site_fract_z
_atom_site_occupancy
U1 U 0.000 0.000 0.000 1
In1 In 0.000 0.000 0.500 1
Ga1 Ga 0.250 0.250 0.250 1
```

Energy relative to the lowest polymorph listed for this composition in eV per formula unit: 0.71
Energy of formation from the pure elements in eV per atom: 0.0501
Magnetization in μB per formula unit: 2.73

=====

Entry 2:
TiSi2N2 after structural relaxation. Source: the Alexandria database, functional PBE.

Geometry as CIF:
```
data_TiSi2N2
_symmetry_space_group_name_H-M 'P 4/m b m'
_symmetry_Int_Tables_number 127
_symmetry_space_group_name_Hall '-P 4 2ab'
_cell_length_a 5.964
_cell_length_b 5.964
_cell_length_c 3.301
_cell_angle_alpha 90.00
_cell_angle_beta 90.00
_cell_angle_gamma 90.00
loop_
_atom_site_label
_atom_site_type_symbol
_atom_site_fract_x
_atom_site_fract_y
_atom_site_fract_z
_atom_site_occupancy
Ti1 Ti 0.000 0.000 0.000 1
Si1 Si 0.139 0.361 0.500 1
N1 N 0.211 0.289 0.000 1
```

ΔE_f (raw) in meV/atom: -455
Energy relative to the lowest polymorph listed for this composition in eV per formula unit: 0.00
Magnetization in μB per formula unit: 0.00